The following is a DFT calculation (PBEsol) of crystalline Fe3Co at its relaxed geometry.

Calculated values
formation energy from the elements = 0.03 eV per atom
space group = P4/nmm, No. 129
calculated total energy = -8.623 eV/atom

Structure (POSCAR):
```
Fe3Co
1.0
-2.276 -1.516 0.538
1.174 -0.928 2.351
-4.405 8.594 5.591
Fe Co
6 2
Direct
0.000 0.500 0.563
0.000 0.500 0.314
0.000 0.500 0.814
0.500 0.000 0.686
0.500 0.000 0.186
0.500 0.000 0.437
0.000 0.500 0.064
0.500 0.000 0.936
```